[1]
First-principles (meta-GGA SCAN) data for MnZnP2 at its PBEsol-relaxed geometry, as listed in Alexandria via LeMat-Bulk.

As for the magnetic moment: 0.748 μB/atom. The formation energy is -153 meV/atom.

a = 6.3700 Å, b = 6.3700 Å, c = 6.3700 Å
α = 130.33°, β = 130.33°, γ = 72.87°
Fractional coordinates of all 8 atoms:
Mn 0.0000 0.0000 0.0000
Mn 0.7500 0.2500 0.5000
Zn 0.2500 0.7500 0.5000
Zn 0.5000 0.5000 0.0000
P 0.1010 0.6250 0.9760
P 0.3750 0.3510 0.4760
P 0.6490 0.1250 0.0240
P 0.8750 0.8990 0.5240


[2]
First-principles (meta-GGA SCAN) data for ZrMnP2 at its PBEsol-relaxed geometry, as listed in Alexandria via LeMat-Bulk.

The value obtained for the offset from the most stable computed form is 2.40 eV per formula unit. As for the magnetic moment: 0.359 μB/atom. The formation energy is -316 meV/atom.

a = 7.6099 Å, b = 7.6099 Å, c = 7.6099 Å
α = 146.42°, β = 146.42°, γ = 48.23°
Fractional coordinates of all 8 atoms:
Zr 0.0000 0.0000 0.0000
Zr 0.7500 0.2500 0.5000
Mn 0.2500 0.7500 0.5000
Mn 0.5000 0.5000 0.0000
P 0.2435 0.6250 0.1185
P 0.3750 0.4935 0.6185
P 0.5065 0.1250 0.8815
P 0.8750 0.7565 0.3815


[3]
First-principles (meta-GGA SCAN) data for Zr2Mn4P3 at its PBEsol-relaxed geometry, as listed in Alexandria via LeMat-Bulk.

As for the magnetic moment: 0.798 μB/atom. The formation energy is -995 meV/atom.

a = 12.4642 Å, b = 12.4642 Å, c = 3.5237 Å
α = 90.00°, β = 90.00°, γ = 120.00°
Fractional coordinates of all 36 atoms:
Zr 0.0000 0.4541 0.0000
Zr 0.0000 0.8267 0.5000
Zr 0.1733 0.1733 0.5000
Zr 0.3333 0.6667 0.0000
Zr 0.4541 0.0000 0.0000
Zr 0.5459 0.5459 0.0000
Zr 0.6667 0.3333 0.0000
Zr 0.8267 0.0000 0.5000
Mn 0.0000 0.0000 0.0000
Mn 0.0000 0.2838 0.5000
Mn 0.1255 0.6559 0.5000
Mn 0.1753 0.3728 0.0000
Mn 0.1975 0.8247 0.0000
Mn 0.2838 0.0000 0.5000
Mn 0.3441 0.4696 0.5000
Mn 0.3728 0.1753 0.0000
Mn 0.4696 0.3441 0.5000
Mn 0.5304 0.8745 0.5000
Mn 0.6272 0.8025 0.0000
Mn 0.6559 0.1255 0.5000
Mn 0.7162 0.7162 0.5000
Mn 0.8025 0.6272 0.0000
Mn 0.8247 0.1975 0.0000
Mn 0.8745 0.5304 0.5000
P 0.0000 0.1742 0.0000
P 0.0000 0.6618 0.0000
P 0.1712 0.4906 0.5000
P 0.1742 0.0000 0.0000
P 0.3194 0.8288 0.5000
P 0.3382 0.3382 0.0000
P 0.4906 0.1712 0.5000
P 0.5094 0.6806 0.5000
P 0.6618 0.0000 0.0000
P 0.6806 0.5094 0.5000
P 0.8258 0.8258 0.0000
P 0.8288 0.3194 0.5000


- Which value of magnetic moment does entry 3 give?
  0.798 μB/atom